The following is a DFT calculation (meta-GGA SCAN) of a crystal of BaLa2P relaxed with PBEsol.

Values from the calculation:
Formation enthalpy at 0 K, eV/atom: -0.61
Space group: No. 123
Raw total energy, eV per atom: -34.645
Volume, Å³ per atom: 33.49
M_tot, μB/f.u.: 0.0

The structure in extended XYZ format:
```
4
Lattice="3.702 0.000 0.000 0.000 3.702 0.000 0.000 0.000 9.774" Properties=species:S:1:pos:R:3 pbc="T T T"
Ba 0.000 0.000 0.000
La 1.851 1.851 3.330
La 1.851 1.851 6.443
P 0.000 0.000 4.887
```



The following is a DFT calculation (meta-GGA SCAN) of a crystal of BaLa2P relaxed with PBEsol.

Values from the calculation:
Formation enthalpy at 0 K, eV/atom: -0.37
Space group: No. 123
Raw total energy, eV per atom: -34.410
Volume, Å³ per atom: 27.75
M_tot, μB/f.u.: 0.0

The structure in extended XYZ format:
```
4
Lattice="4.873 0.000 0.000 0.000 4.873 0.000 0.000 0.000 4.675" Properties=species:S:1:pos:R:3 pbc="T T T"
Ba 0.000 0.000 0.000
La 0.000 2.436 2.337
La 2.436 0.000 2.337
P 2.436 2.436 0.000
```



The following is a DFT calculation (meta-GGA SCAN) of a crystal of BaLa2P relaxed with PBEsol.

Values from the calculation:
Formation enthalpy at 0 K, eV/atom: -0.80
Space group: No. 166
Raw total energy, eV per atom: -34.845
Volume, Å³ per atom: 37.57
M_tot, μB/f.u.: 1.0

The structure in extended XYZ format:
```
4
Lattice="2.041 1.179 10.408 -2.041 1.179 10.408 0.000 -2.357 10.408" Properties=species:S:1:pos:R:3 pbc="T T T"
Ba 0.000 0.000 0.000
La 0.000 0.000 6.853
La 0.000 0.000 24.372
P 0.000 0.000 15.613
```



The following is a DFT calculation (meta-GGA SCAN) of a crystal of Ba2LaSbP relaxed with PBEsol.

Values from the calculation:
Energy relative to the elements, uncorrected, eV/f.u.: -0.99
Space group: No. 123
Raw total energy, eV per atom: -34.171
Volume, Å³ per atom: 47.17
M_tot, μB/f.u.: 0.0

The structure in extended XYZ format:
```
5
Lattice="6.300 0.000 0.000 0.000 6.300 0.000 0.000 0.000 5.943" Properties=species:S:1:pos:R:3 pbc="T T T"
Ba 0.000 3.150 0.000
Ba 3.150 0.000 0.000
La 0.000 0.000 2.971
Sb 0.000 0.000 0.000
P 3.150 3.150 2.971
```



The following is a DFT calculation (meta-GGA SCAN) of a crystal of BaLa3Pb relaxed with PBEsol.

Values from the calculation:
Formation enthalpy at 0 K, eV/atom: 0.58
Space group: No. 221
Raw total energy, eV per atom: -48.351
Volume, Å³ per atom: 38.18
M_tot, μB/f.u.: 0.0

The structure in extended XYZ format:
```
5
Lattice="5.758 0.000 0.000 0.000 5.758 0.000 0.000 0.000 5.758" Properties=species:S:1:pos:R:3 pbc="T T T"
Ba 0.000 0.000 0.000
La 0.000 0.000 2.879
La 0.000 2.879 0.000
La 2.879 0.000 0.000
Pb 2.879 2.879 2.879
```



The following is a DFT calculation (meta-GGA SCAN) of a crystal of BaLa2PdSe relaxed with PBEsol.

Values from the calculation:
Energy relative to the elements, uncorrected, eV/f.u.: -3.06
Space group: No. 123
Raw total energy, eV per atom: -36.336
Volume, Å³ per atom: 37.68
M_tot, μB/f.u.: 0.0

The structure in extended XYZ format:
```
5
Lattice="5.360 0.000 0.000 0.000 5.360 0.000 0.000 0.000 6.559" Properties=species:S:1:pos:R:3 pbc="T T T"
Ba 0.000 0.000 0.000
La 0.000 2.680 3.279
La 2.680 0.000 3.279
Pd 0.000 0.000 3.279
Se 2.680 2.680 0.000
```



- Which value of M_tot does entry 1 give?
  0.0 μB/f.u.